1.
## HfAgSnAu (PBE)

Data for a geometry-optimized HfAgSnAu structure.

Energy = -5.18 eV per atom
Spin magnetization = 0.00 μB per formula unit

a b c (Å): 6.8588 6.8588 6.8588
angles (deg): 90.00 90.00 90.00
Space group F-43m (No. 216)
Asymmetric unit:
Hf 0.0000 0.0000 0.0000
Ag 0.0000 0.0000 0.5000
Sn 0.2500 0.2500 0.7500
Au 0.2500 0.2500 0.2500


2.
## CaZrBr (PBE)

Data for a geometry-optimized CaZrBr structure.

ΔE to the lowest computed polymorph = 0.000 eV per atom
Spin magnetization = 0.73 μB per formula unit
Formation energy (no corrections) = -457 meV per atom

a b c (Å): 3.6006 3.6006 7.0922
angles (deg): 90.00 90.00 120.00
Space group P3m1 (No. 156)
Asymmetric unit:
Ca 0.0000 0.0000 0.0000
Zr 0.6667 0.3333 0.3651
Br 0.3333 0.6667 0.6452